[1]
Compound: TlV2PF
Source: Alexandria
Functional: PBE+U
Structure: relaxed

Cell and atoms, written as extended XYZ:
```
5
Lattice="5.415 0.000 0.000 0.000 4.401 0.000 0.000 0.000 5.415" Properties=species:S:1:pos:R:3 pbc="T T T"
P 2.707 2.201 2.707
V 0.000 0.000 2.707
V 2.707 0.000 0.000
Tl 0.000 0.000 0.000
F 0.000 2.201 0.000
```

Space-group type: P4/mmm (123)

=====

[2]
Compound: TlV2PF
Source: Alexandria
Functional: PBE+U
Structure: relaxed

Cell and atoms, written as extended XYZ:
```
5
Lattice="-1.570 -0.491 -4.336 5.171 -3.555 -1.469 -2.280 -3.837 1.260" Properties=species:S:1:pos:R:3 pbc="T T T"
V -1.140 -1.919 0.630
Tl 2.586 -1.777 -0.734
F 0.661 -3.942 -2.273
V -0.785 -0.246 -2.168
P 0.000 0.000 0.000
```

Space-group type: P4/mmm (123)

=====

| no. | E_tot (hartree per atom) |
| --- | --- |
| 1 | -0.14661 |
| 2 | -0.16965 |